This record from Alexandria describes a relaxed Ac3Sn4Ir2 crystal. The functional is PBE.

Properties
Raw total energy, eV for the cell shown: -103.477
Energy of formation from the pure elements, eV/atom: -0.63

```
data_Ac3Sn4Ir2
_chemical_formula_sum 'Ac6 Sn8 Ir4'
_symmetry_space_group_name_H-M 'C 1 2/m 1'
_symmetry_Int_Tables_number 12
_cell_length_a 12.129
_cell_length_b 4.756
_cell_length_c 9.134
_cell_angle_alpha 90.00
_cell_angle_beta 105.06
_cell_angle_gamma 90.00
loop_
_symmetry_equiv_pos_as_xyz
'x,y,z'
'-x,-y,-z'
'-x,y,-z'
'x,-y,z'
'x+1/2,y+1/2,z'
'-x+1/2,-y+1/2,-z'
'-x+1/2,y+1/2,-z'
'x+1/2,-y+1/2,z'
loop_
_atom_site_label
_atom_site_fract_x
_atom_site_fract_y
_atom_site_fract_z
Ac1 0.000 0.000 0.000
Ac2 0.122 0.500 0.690
Sn1 0.101 0.000 0.394
Sn2 0.209 0.500 0.084
Ir1 0.202 0.500 0.381
```

=====

This record from Alexandria describes a relaxed CeTlCd2 crystal. The functional is PBE.

Properties
Raw total energy, eV for the cell shown: -42.660
Energy of formation from the pure elements, eV/atom: -0.13

```
data_CeTlCd2
_chemical_formula_sum 'Ce4 Tl4 Cd8'
_symmetry_space_group_name_H-M 'F m -3 m'
_symmetry_Int_Tables_number 225
_symmetry_space_group_name_Hall '-F 4 2 3'
_cell_length_a 7.467
_cell_length_b 7.467
_cell_length_c 7.467
_cell_angle_alpha 90.00
_cell_angle_beta 90.00
_cell_angle_gamma 90.00
loop_
_atom_site_label
_atom_site_fract_x
_atom_site_fract_y
_atom_site_fract_z
Ce1 0.000 0.000 0.000
Tl1 0.000 0.000 0.500
Cd1 0.250 0.250 0.250
```

=====

This record from Alexandria describes a relaxed LaMn2As2 crystal. The functional is PBE.

Properties
Raw total energy, eV for the cell shown: -65.002
Energy of formation from the pure elements, eV/atom: 0.01

```
data_LaMn2As2
_chemical_formula_sum 'La2 Mn4 As4'
_symmetry_space_group_name_H-M 'P 4/m b m'
_symmetry_Int_Tables_number 127
_symmetry_space_group_name_Hall '-P 4 2ab'
_cell_length_a 7.712
_cell_length_b 7.712
_cell_length_c 3.069
_cell_angle_alpha 90.00
_cell_angle_beta 90.00
_cell_angle_gamma 90.00
loop_
_atom_site_label
_atom_site_fract_x
_atom_site_fract_y
_atom_site_fract_z
La1 0.000 0.000 0.000
Mn1 0.102 0.398 0.500
As1 0.148 0.648 0.000
```